ErGaSiPt2: relaxed, GGA-PBE.

```
data_ErGaSiPt2
_chemical_formula_sum 'Er2 Ga2 Si2 Pt4'
_cell_length_a 4.155
_cell_length_b 4.155
_cell_length_c 10.330
_cell_angle_alpha 90.00
_cell_angle_beta 90.00
_cell_angle_gamma 90.00
_space_group_name_H-M_alt 'P 4/n m m'
_space_group_IT_number 129
loop_
_space_group_symop_operation_xyz
'x,y,z'
'-x,-y,-z'
'-y+1/2,x,z'
'y+1/2,-x,-z'
'-x+1/2,-y+1/2,z'
'x+1/2,y+1/2,-z'
'y,-x+1/2,z'
'-y,x+1/2,-z'
'x+1/2,-y,-z'
'-x+1/2,y,z'
'-y,-x,-z'
'y,x,z'
'-x,y+1/2,-z'
'x,-y+1/2,z'
'y+1/2,x+1/2,-z'
'-y+1/2,-x+1/2,z'
loop_
_atom_site_label
_atom_site_type_symbol
_atom_site_fract_x
_atom_site_fract_y
_atom_site_fract_z
Er1 Er 0.250 0.250 0.249
Ga1 Ga 0.250 0.750 0.500
Si1 Si 0.250 0.250 0.871
Pt1 Pt 0.250 0.250 0.647
Pt2 Pt 0.250 0.750 0.000
```

Output
E_tot: -60.63 eV per cell
Calculated volume: 17.836 A^3/atom

Er2GaSnPt4: relaxed, GGA-PBE.

```
data_Er2GaSnPt4
_chemical_formula_sum 'Er2 Ga1 Sn1 Pt4'
_cell_length_a 4.4659
_cell_length_b 4.4659
_cell_length_c 9.0406
_cell_angle_alpha 90.00
_cell_angle_beta 90.00
_cell_angle_gamma 120.00
_space_group_name_H-M_alt 'P -3 m 1'
_space_group_IT_number 164
_space_group_name_Hall '-P 3 2"'
loop_
_atom_site_label
_atom_site_type_symbol
_atom_site_fract_x
_atom_site_fract_y
_atom_site_fract_z
Er1 Er 0.3333 0.6667 0.2438
Ga1 Ga 0.0000 0.0000 0.0000
Sn1 Sn 0.0000 0.0000 0.5000
Pt1 Pt 0.3333 0.6667 0.5947
Pt2 Pt 0.3333 0.6667 0.9170
```

Output
E_tot: -48.67 eV per cell
Calculated volume: 19.519 A^3/atom

TbErGa4Pt2: relaxed, GGA-PBE.

```
data_TbErGa4Pt2
_chemical_formula_sum 'Tb2 Er2 Ga8 Pt4'
_cell_length_a 6.674
_cell_length_b 4.385
_cell_length_c 10.151
_cell_angle_alpha 90.00
_cell_angle_beta 90.00
_cell_angle_gamma 90.00
_space_group_name_H-M_alt 'A m m 2'
_space_group_IT_number 38
loop_
_space_group_symop_operation_xyz
'x,y,z'
'-x,-y,z'
'-x,y,z'
'x,-y,z'
'x,y+1/2,z+1/2'
'-x,-y+1/2,z+1/2'
'-x,y+1/2,z+1/2'
'x,-y+1/2,z+1/2'
loop_
_atom_site_label
_atom_site_type_symbol
_atom_site_fract_x
_atom_site_fract_y
_atom_site_fract_z
Tb1 Tb 0.000 0.000 0.000
Er1 Er 0.500 0.000 0.172
Ga1 Ga 0.199 0.000 0.714
Ga2 Ga 0.303 0.000 0.455
Pt1 Pt 0.000 0.000 0.289
Pt2 Pt 0.500 0.000 0.883
```

Output
E_tot: -81.69 eV per cell
Calculated volume: 18.568 A^3/atom

TbErGa2Pt4: relaxed, GGA-PBE.

```
data_TbErGa2Pt4
_chemical_formula_sum 'Tb1 Er1 Ga2 Pt4'
_cell_length_a 4.691
_cell_length_b 4.691
_cell_length_c 6.650
_cell_angle_alpha 90.00
_cell_angle_beta 90.00
_cell_angle_gamma 90.00
_space_group_name_H-M_alt 'P 4/m m m'
_space_group_IT_number 123
_space_group_name_Hall '-P 4 2'
loop_
_atom_site_label
_atom_site_type_symbol
_atom_site_fract_x
_atom_site_fract_y
_atom_site_fract_z
Tb1 Tb 0.000 0.000 0.000
Er1 Er 0.500 0.500 0.500
Ga1 Ga 0.000 0.000 0.500
Ga2 Ga 0.500 0.500 0.000
Pt1 Pt 0.000 0.500 0.254
```

Output
Energy relative to the lowest polymorph listed for this composition: 0.171 eV/atom
Calculated volume: 18.289 A^3/atom

TbErGa2Pt4: relaxed, GGA-PBE.

```
data_TbErGa2Pt4
_chemical_formula_sum 'Tb1 Er1 Ga2 Pt4'
_cell_length_a 4.3856
_cell_length_b 4.3856
_cell_length_c 9.0876
_cell_angle_alpha 90.00
_cell_angle_beta 90.00
_cell_angle_gamma 120.00
_space_group_name_H-M_alt 'P -6 m 2'
_space_group_IT_number 187
_space_group_name_Hall 'P -6 2'
loop_
_atom_site_label
_atom_site_type_symbol
_atom_site_fract_x
_atom_site_fract_y
_atom_site_fract_z
Tb1 Tb 0.0000 0.0000 0.0000
Er1 Er 0.3333 0.6667 0.5000
Ga1 Ga 0.6667 0.3333 0.2507
Pt1 Pt 0.0000 0.0000 0.3377
Pt2 Pt 0.3333 0.6667 0.1673
```

Output
Energy relative to the lowest polymorph listed for this composition: 0.000 eV/atom
Calculated volume: 18.921 A^3/atom

YErGa4Pt2: relaxed, GGA-PBE.

```
data_YErGa4Pt2
_chemical_formula_sum 'Y2 Er2 Ga8 Pt4'
_cell_length_a 6.688
_cell_length_b 4.365
_cell_length_c 10.158
_cell_angle_alpha 90.00
_cell_angle_beta 90.00
_cell_angle_gamma 90.00
_space_group_name_H-M_alt 'A m m 2'
_space_group_IT_number 38
loop_
_space_group_symop_operation_xyz
'x,y,z'
'-x,-y,z'
'-x,y,z'
'x,-y,z'
'x,y+1/2,z+1/2'
'-x,-y+1/2,z+1/2'
'-x,y+1/2,z+1/2'
'x,-y+1/2,z+1/2'
loop_
_atom_site_label
_atom_site_type_symbol
_atom_site_fract_x
_atom_site_fract_y
_atom_site_fract_z
Y1 Y 0.000 0.000 0.000
Er1 Er 0.500 0.000 0.170
Ga1 Ga 0.199 0.000 0.714
Ga2 Ga 0.303 0.000 0.454
Pt1 Pt 0.000 0.000 0.288
Pt2 Pt 0.500 0.000 0.881
```

Output
E_tot: -85.41 eV per cell
Calculated volume: 18.532 A^3/atom

ErZnGa2Pt4: relaxed, GGA-PBE.

```
data_ErZnGa2Pt4
_chemical_formula_sum 'Er1 Zn1 Ga2 Pt4'
_cell_length_a 4.489
_cell_length_b 4.489
_cell_length_c 6.537
_cell_angle_alpha 90.00
_cell_angle_beta 90.00
_cell_angle_gamma 90.00
_space_group_name_H-M_alt 'P 4/m m m'
_space_group_IT_number 123
_space_group_name_Hall '-P 4 2'
loop_
_atom_site_label
_atom_site_type_symbol
_atom_site_fract_x
_atom_site_fract_y
_atom_site_fract_z
Er1 Er 0.000 0.000 0.000
Zn1 Zn 0.500 0.500 0.500
Ga1 Ga 0.000 0.000 0.500
Ga2 Ga 0.500 0.500 0.000
Pt1 Pt 0.000 0.500 0.273
```

Output
E_tot: -41.76 eV per cell
Calculated volume: 16.465 A^3/atom

ErGaRe: relaxed, GGA-PBE.

```
data_ErGaRe
_chemical_formula_sum 'Er4 Ga4 Re4'
_cell_length_a 6.533
_cell_length_b 6.533
_cell_length_c 6.533
_cell_angle_alpha 90.00
_cell_angle_beta 90.00
_cell_angle_gamma 90.00
_space_group_name_H-M_alt 'F -4 3 m'
_space_group_IT_number 216
_space_group_name_Hall 'F -4 2 3'
loop_
_atom_site_label
_atom_site_type_symbol
_atom_site_fract_x
_atom_site_fract_y
_atom_site_fract_z
Er1 Er 0.000 0.000 0.000
Ga1 Ga 0.250 0.250 0.750
Re1 Re 0.250 0.250 0.250
```

Output
E_tot: -66.59 eV per cell
Calculated volume: 23.237 A^3/atom